1.
Compound: ThHgCl4
Source: Alexandria via LeMat-Bulk
Functional: PBE-GGA
Structure: relaxed

Results
Magnetization in μB/atom: 0.00
E_tot in eV/atom: -4.232
DOS(E_F) in states/eV/f.u.: 0.000
ρ in g/cm3: 3.71
Calculated volume in Å³/f.u.: 257.4
SG: P-1, No. 2
ΔE_f (raw) in meV per atom: -1714

a = 7.7619 Å, b = 6.5487 Å, c = 11.2765 Å
α = 106.99°, β = 109.19°, γ = 90.00°
Last column: nearest neighbours and their distance in Å.
Fractional coordinates of all 12 atoms:
Th 0.5000 0.0000 0.5000  6 Cl 2.57-2.79
Th 0.0000 0.5000 0.5000  6 Cl 2.57-2.79
Hg 0.7499 0.9720 0.9999  2 Hg 3.90, 2 Cl 4.32
Hg 0.2501 0.0280 0.0001  2 Hg 3.90, 2 Cl 4.32
Cl 0.4014 0.6719 0.2914  1 Th 2.57
Cl 0.0985 0.3808 0.7082  1 Th 2.57
Cl 0.5986 0.3281 0.7086  1 Th 2.57
Cl 0.9015 0.6192 0.2918  1 Th 2.57
Cl 0.1944 0.1913 0.3847  2 Th 2.79
Cl 0.3059 0.8069 0.6153  2 Th 2.79
Cl 0.8056 0.8087 0.6153  2 Th 2.79
Cl 0.6941 0.1931 0.3847  2 Th 2.79

=====

2.
Compound: Cd4Pd2Au
Source: Alexandria via LeMat-Bulk
Functional: PBE-GGA
Structure: relaxed

Results
Distance to the lowest polymorph of the same formula in eV/atom: 0.0000
Magnetization in μB/atom: 0.00
E_tot in eV/atom: -2.755
DOS(E_F) in states/eV/f.u.: 2.411
ρ in g/cm3: 10.14
Calculated volume in Å³/f.u.: 140.7
SG: I4/mmm, No. 139
DFT formation energy in eV per atom: -0.280

a = 4.4397 Å, b = 4.4397 Å, c = 7.7971 Å
α = 106.54°, β = 106.54°, γ = 90.00°
Last column: nearest neighbours and their distance in Å.
Fractional coordinates of all 7 atoms:
Cd 0.3761 0.8761 0.7521  4 Pd 2.84-2.88, 2 Au 2.84, 4 Cd 3.14
Cd 0.8761 0.3761 0.7521  4 Pd 2.84-2.88, 2 Au 2.84, 4 Cd 3.14
Cd 0.6239 0.1239 0.2479  4 Pd 2.84-2.88, 2 Au 2.84, 4 Cd 3.14
Cd 0.1239 0.6239 0.2479  4 Pd 2.84-2.88, 2 Au 2.84, 4 Cd 3.14
Pd 0.7523 0.7523 0.5045  8 Cd 2.84-2.88, 4 Pd 3.14
Pd 0.2477 0.2477 0.4955  8 Cd 2.84-2.88, 4 Pd 3.14
Au 0.0000 0.0000 0.0000  8 Cd 2.84

=====

3.
Compound: Pm8Tl2Ru
Source: Alexandria via LeMat-Bulk
Functional: PBE-GGA
Structure: relaxed

Results
Magnetization in μB/atom: 0.00
E_tot in eV/atom: -4.919
DOS(E_F) in states/eV/f.u.: 11.397
ρ in g/cm3: 8.41
Calculated volume in Å³/f.u.: 329.7
SG: C2/m, No. 12
DFT formation energy in eV per atom: -0.191

a = 5.6455 Å, b = 7.1136 Å, c = 9.2926 Å
α = 110.89°, β = 107.68°, γ = 90.00°
Last column: nearest neighbours and their distance in Å.
Fractional coordinates of all 11 atoms:
Pm 0.3964 0.5974 0.7928  1 Ru 2.76
Pm 0.6395 0.9082 0.2791  1 Ru 2.78
Pm 0.8028 0.7567 0.6055  3 Tl 3.29-3.45, 7 Pm 3.44-3.66
Pm 0.9925 0.2317 0.9850  2 Ru 3.30, 1 Tl 3.35, 6 Pm 3.39-3.60
Pm 0.1972 0.2433 0.3945  3 Tl 3.29-3.45, 7 Pm 3.44-3.66
Pm 0.3605 0.0918 0.7209  1 Ru 2.78
Pm 0.6036 0.4026 0.2072  1 Ru 2.76
Pm 0.0075 0.7683 0.0150  2 Ru 3.30, 1 Tl 3.35, 6 Pm 3.39-3.60
Tl 0.8169 0.3090 0.6338  9 Pm 3.29-3.46
Tl 0.1831 0.6910 0.3662  9 Pm 3.29-3.46
Ru 0.5000 0.0000 0.0000  4 Pm 2.76-2.78

=====

4.
Compound: PuScAl2Zn2
Source: Alexandria via LeMat-Bulk
Functional: PBE-GGA
Structure: relaxed

Results
Magnetization in μB/atom: 1.02
E_tot in eV/atom: -5.397
DOS(E_F) in states/eV/f.u.: 13.902
ρ in g/cm3: 6.65
Calculated volume in Å³/f.u.: 118.3
SG: P-3m1, No. 164
DFT formation energy in eV per atom: -0.281

a = 4.4244 Å, b = 4.4244 Å, c = 6.9765 Å
α = 90.00°, β = 90.00°, γ = 120.00°
Last column: nearest neighbours and their distance in Å.
Fractional coordinates of all 6 atoms:
Pu 0.0000 0.0000 0.0000  6 Al 3.20, 6 Zn 3.24, 2 Sc 3.49
Sc 0.0000 0.0000 0.5000  6 Zn 2.96, 6 Al 3.00
Al 0.3333 0.6667 0.7248  3 Zn 2.56
Al 0.6667 0.3333 0.2752  3 Zn 2.56
Zn 0.3333 0.6667 0.2856  3 Al 2.56
Zn 0.6667 0.3333 0.7144  3 Al 2.56